*a*
{
  "formula": "CrCuBr2",
  "functional": "SCAN",
  "state": "single point on PBEsol structure",
  "space_group": "Pm (6)",
  "m_tot_mub_per_atom": 1.25,
  "lattice_angstrom": [[3.8527, 0.0000, 0.0000], [0.0000, 3.8124, 0.0000], [-0.5181, 0.0000, 6.3350]],
  "species": ["Cr", "Cu", "Br", "Br"],
  "fractional_positions": [[0.0000, 0.0000, 0.0000], [0.5239, 0.5000, 0.1130], [0.2356, 0.5000, 0.7684], [0.6758, 0.0000, 0.3340]]
}

=====

*b*
{
  "formula": "CrCuBr2",
  "functional": "SCAN",
  "state": "single point on PBEsol structure",
  "space_group": "Fm-3m (225)",
  "m_tot_mub_per_atom": 1.25,
  "lattice_angstrom": [[0.0000, 3.3544, 3.3544], [3.3544, 0.0000, 3.3544], [3.3544, 3.3544, 0.0000]],
  "species": ["Cr", "Cu", "Br", "Br"],
  "fractional_positions": [[0.0000, 0.0000, 0.0000], [0.5000, 0.5000, 0.5000], [0.2500, 0.2500, 0.2500], [0.7500, 0.7500, 0.7500]]
}

=====

Which structure is the least stable? The one labeled *b*.

=====

*a*
{
  "formula": "CrHgBr2",
  "functional": "SCAN",
  "state": "single point on PBEsol structure",
  "space_group": "Imm2 (44)",
  "m_tot_mub_per_atom": 1.00,
  "lattice_angstrom": [[-1.7465, 3.3016, 4.5239], [1.7465, -3.3016, 4.5239], [1.7465, 3.3016, -4.5239]],
  "species": ["Cr", "Hg", "Br", "Br"],
  "fractional_positions": [[0.0000, 0.0000, 0.0000], [0.7685, 0.2685, 0.5000], [0.1894, 0.6894, 0.5000], [0.5265, 0.5265, 0.0000]]
}

=====

*b*
{
  "formula": "CrHgBr2",
  "functional": "SCAN",
  "state": "single point on PBEsol structure",
  "space_group": "P4mm (99)",
  "m_tot_mub_per_atom": 1.00,
  "lattice_angstrom": [[3.4094, 0.0000, 0.0000], [0.0000, 3.4094, 0.0000], [0.0000, 0.0000, 7.9362]],
  "species": ["Cr", "Hg", "Br", "Br"],
  "fractional_positions": [[0.0000, 0.0000, 0.0000], [0.5000, 0.5000, 0.2246], [0.0000, 0.0000, 0.4408], [0.5000, 0.5000, 0.8159]]
}

=====

*c*
{
  "formula": "CrHgBr2",
  "functional": "SCAN",
  "state": "single point on PBEsol structure",
  "space_group": "P4/mmm (123)",
  "m_tot_mub_per_atom": 1.02,
  "lattice_angstrom": [[3.2894, 0.0000, 0.0000], [0.0000, 3.2894, 0.0000], [0.0000, 0.0000, 9.1462]],
  "species": ["Cr", "Hg", "Br", "Br"],
  "fractional_positions": [[0.0000, 0.0000, 0.0000], [0.0000, 0.0000, 0.5000], [0.5000, 0.5000, 0.1746], [0.5000, 0.5000, 0.8254]]
}

=====

Which structure is the least stable? The one labeled *b*.

=====

*a*
{
  "formula": "CrIn2Br",
  "functional": "SCAN",
  "state": "single point on PBEsol structure",
  "space_group": "P4mm (99)",
  "m_tot_mub_per_atom": 1.10,
  "lattice_angstrom": [[3.2945, 0.0000, 0.0000], [0.0000, 3.2945, 0.0000], [0.0000, 0.0000, 8.4600]],
  "species": ["Cr", "In", "In", "Br"],
  "fractional_positions": [[0.0000, 0.0000, 0.0000], [0.0000, 0.0000, 0.4883], [0.5000, 0.5000, 0.2137], [0.5000, 0.5000, 0.8174]]
}

=====

*b*
{
  "formula": "CrIn2Br",
  "functional": "SCAN",
  "state": "single point on PBEsol structure",
  "space_group": "I4/mmm (139)",
  "m_tot_mub_per_atom": 1.21,
  "lattice_angstrom": [[-2.1205, 2.1205, 5.2194], [2.1205, -2.1205, 5.2194], [2.1205, 2.1205, -5.2194]],
  "species": ["Cr", "In", "In", "Br"],
  "fractional_positions": [[0.0000, 0.0000, 0.0000], [0.2500, 0.7500, 0.5000], [0.7500, 0.2500, 0.5000], [0.5000, 0.5000, 0.0000]]
}

=====

*c*
{
  "formula": "CrIn2Br",
  "functional": "SCAN",
  "state": "single point on PBEsol structure",
  "space_group": "P4/mmm (123)",
  "m_tot_mub_per_atom": 0.99,
  "lattice_angstrom": [[3.2871, 0.0000, 0.0000], [0.0000, 3.2871, 0.0000], [0.0000, 0.0000, 7.8455]],
  "species": ["Cr", "In", "In", "Br"],
  "fractional_positions": [[0.0000, 0.0000, 0.0000], [0.5000, 0.5000, 0.2112], [0.5000, 0.5000, 0.7888], [0.0000, 0.0000, 0.5000]]
}

=====

*d*
{
  "formula": "CrIn2Br",
  "functional": "SCAN",
  "state": "single point on PBEsol structure",
  "space_group": "Amm2 (38)",
  "m_tot_mub_per_atom": 0.94,
  "lattice_angstrom": [[3.2347, 0.0000, 0.0000], [0.0000, 1.6969, 8.6459], [0.0000, -1.6969, 8.6459]],
  "species": ["Cr", "In", "In", "Br"],
  "fractional_positions": [[0.0000, 0.0000, 0.0000], [0.0000, 0.2314, 0.2314], [0.5000, 0.5957, 0.5957], [0.5000, 0.8933, 0.8933]]
}

=====

Which structure is the least stable? The one labeled *b*.